# VS2ClF (GGA+U, relaxed)
# symmetry	P4/mmm (123)
# magnetic moment	0.5738	μB per atom
# density	2943	kg/m3
# Fermi-level density of states	2.55	states/eV/f.u.
# final energy	-3.5246	eV/atom
# excess energy over the best structure of this formula in the dataset	366	meV/atom
# calculated volume	96	Å³ per cell
data_VS2ClF
_chemical_formula_sum 'V1 S2 Cl1 F1'
_cell_length_a 4.1469
_cell_length_b 4.1469
_cell_length_c 5.5629
_cell_angle_alpha 90.00
_cell_angle_beta 90.00
_cell_angle_gamma 90.00
_symmetry_space_group_name_H-M 'P 1'
_symmetry_Int_Tables_number 1
_symmetry_space_group_name_Hall 'P 1'
loop_
_atom_site_label
_atom_site_type_symbol
_atom_site_fract_x
_atom_site_fract_y
_atom_site_fract_z
_atom_site_occupancy
Cl1 Cl 0.0000 0.0000 0.5000 1
V1 V 0.5000 0.5000 0.5000 1
S1 S 0.5000 0.0000 0.0000 1
F1 F 0.0000 0.0000 0.0000 1
S2 S 0.0000 0.5000 0.0000 1

# VS2ClF (GGA+U, relaxed)
# symmetry	P4/mmm (123)
# magnetic moment	0.0000	μB per atom
# density	2977	kg/m3
# Fermi-level density of states	6.99	states/eV/f.u.
# final energy	-3.8911	eV/atom
# excess energy over the best structure of this formula in the dataset	0	meV/atom
# calculated volume	95	Å³ per cell
data_VS2ClF
_chemical_formula_sum 'V1 S2 Cl1 F1'
_cell_length_a 4.5013
_cell_length_b 4.5013
_cell_length_c 4.6671
_cell_angle_alpha 90.00
_cell_angle_beta 90.00
_cell_angle_gamma 90.00
_symmetry_space_group_name_H-M 'P 1'
_symmetry_Int_Tables_number 1
_symmetry_space_group_name_Hall 'P 1'
loop_
_atom_site_label
_atom_site_type_symbol
_atom_site_fract_x
_atom_site_fract_y
_atom_site_fract_z
_atom_site_occupancy
Cl1 Cl 0.0000 0.0000 0.5000 1
F1 F 0.5000 0.5000 0.5000 1
S1 S 0.5000 0.0000 0.0000 1
S2 S 0.0000 0.5000 0.0000 1
V1 V 0.0000 0.0000 0.0000 1

# WS2ClF (GGA+U, relaxed)
# symmetry	P4/mmm (123)
# magnetic moment	0.0000	μB per atom
# density	4858	kg/m3
# Fermi-level density of states	4.72	states/eV/f.u.
# final energy	-3.8680	eV/atom
# excess energy over the best structure of this formula in the dataset	0	meV/atom
# calculated volume	103	Å³ per cell
data_WS2ClF
_chemical_formula_sum 'W1 S2 Cl1 F1'
_cell_length_a 4.6371
_cell_length_b 4.6371
_cell_length_c 4.8079
_cell_angle_alpha 90.00
_cell_angle_beta 90.00
_cell_angle_gamma 90.00
_symmetry_space_group_name_H-M 'P 1'
_symmetry_Int_Tables_number 1
_symmetry_space_group_name_Hall 'P 1'
loop_
_atom_site_label
_atom_site_type_symbol
_atom_site_fract_x
_atom_site_fract_y
_atom_site_fract_z
_atom_site_occupancy
F1 F 0.5000 0.5000 0.5000 1
W1 W 0.0000 0.0000 0.0000 1
S1 S 0.5000 0.0000 0.0000 1
Cl1 Cl 0.0000 0.0000 0.5000 1
S2 S 0.0000 0.5000 0.0000 1

# WS2ClF (GGA+U, relaxed)
# symmetry	P4/mmm (123)
# magnetic moment	0.7346	μB per atom
# density	5169	kg/m3
# Fermi-level density of states	2.19	states/eV/f.u.
# final energy	-3.1691	eV/atom
# excess energy over the best structure of this formula in the dataset	699	meV/atom
# calculated volume	97	Å³ per cell
data_WS2ClF
_chemical_formula_sum 'W1 S2 Cl1 F1'
_cell_length_a 4.1653
_cell_length_b 4.1653
_cell_length_c 5.5995
_cell_angle_alpha 90.00
_cell_angle_beta 90.00
_cell_angle_gamma 90.00
_symmetry_space_group_name_H-M 'P 1'
_symmetry_Int_Tables_number 1
_symmetry_space_group_name_Hall 'P 1'
loop_
_atom_site_label
_atom_site_type_symbol
_atom_site_fract_x
_atom_site_fract_y
_atom_site_fract_z
_atom_site_occupancy
F1 F 0.0000 0.0000 0.0000 1
S1 S 0.5000 0.0000 0.0000 1
S2 S 0.0000 0.5000 0.0000 1
W1 W 0.5000 0.5000 0.5000 1
Cl1 Cl 0.0000 0.0000 0.5000 1